[1]
# Ca3ThB4O12 | Alexandria | PBE-GGA | optimized geometry
# Calculated total energy   -153.26 eV per cell
# Space-group type   R32, No. 155
# Calculated density   3.66 g/cm3
data_Ca3ThB4O12
_chemical_formula_sum 'Ca3 Th1 B4 O12'
_cell_length_a 6.582
_cell_length_b 6.582
_cell_length_c 6.582
_cell_angle_alpha 101.21
_cell_angle_beta 101.21
_cell_angle_gamma 101.21
_symmetry_space_group_name_H-M 'P 1'
_symmetry_Int_Tables_number 1
loop_
_symmetry_equiv_pos_as_xyz
'x,y,z'
loop_
_atom_site_label
_atom_site_type_symbol
_atom_site_fract_x
_atom_site_fract_y
_atom_site_fract_z
Ca1 Ca 0.000 0.534 0.466
Ca2 Ca 0.466 0.000 0.534
Ca3 Ca 0.534 0.466 0.000
Th1 Th 0.000 0.000 0.000
B1 B 0.033 0.500 0.967
B2 B 0.500 0.500 0.500
B3 B 0.500 0.967 0.033
B4 B 0.967 0.033 0.500
O1 O 0.033 0.649 0.842
O2 O 0.100 0.900 0.500
O3 O 0.158 0.351 0.967
O4 O 0.351 0.967 0.158
O5 O 0.367 0.633 0.500
O6 O 0.500 0.100 0.900
O7 O 0.500 0.367 0.633
O8 O 0.633 0.500 0.367
O9 O 0.649 0.842 0.033
O10 O 0.842 0.033 0.649
O11 O 0.900 0.500 0.100
O12 O 0.967 0.158 0.351

---

[2]
# Ca2TlB2O6 | Alexandria | PBE-GGA | optimized geometry
# Calculated total energy   -74.63 eV per cell
# Space-group type   P-1, No. 2
# Calculated density   3.81 g/cm3
data_Ca2TlB2O6
_chemical_formula_sum 'Ca2 Tl1 B2 O6'
_cell_length_a 6.020
_cell_length_b 6.024
_cell_length_c 6.194
_cell_angle_alpha 66.70
_cell_angle_beta 66.72
_cell_angle_gamma 61.45
_symmetry_space_group_name_H-M 'P 1'
_symmetry_Int_Tables_number 1
loop_
_symmetry_equiv_pos_as_xyz
'x,y,z'
loop_
_atom_site_label
_atom_site_type_symbol
_atom_site_fract_x
_atom_site_fract_y
_atom_site_fract_z
Ca1 Ca 0.178 0.178 0.200
Ca2 Ca 0.822 0.822 0.800
Tl1 Tl 0.500 0.500 0.500
B1 B 0.156 0.157 0.756
B2 B 0.844 0.843 0.244
O1 O 0.008 0.389 0.824
O2 O 0.075 0.075 0.633
O3 O 0.389 0.010 0.823
O4 O 0.611 0.990 0.177
O5 O 0.925 0.925 0.367
O6 O 0.992 0.611 0.176

---

[3]
# CaTlBO4 | Alexandria | PBE-GGA | optimized geometry
# Calculated total energy   -88.94 eV per cell
# Space-group type   Cmcm, No. 63
# Calculated density   6.31 g/cm3
data_CaTlBO4
_chemical_formula_sum 'Ca2 Tl2 B2 O8'
_cell_length_a 5.387
_cell_length_b 5.387
_cell_length_c 6.426
_cell_angle_alpha 90.00
_cell_angle_beta 90.00
_cell_angle_gamma 115.77
_symmetry_space_group_name_H-M 'P 1'
_symmetry_Int_Tables_number 1
loop_
_symmetry_equiv_pos_as_xyz
'x,y,z'
loop_
_atom_site_label
_atom_site_type_symbol
_atom_site_fract_x
_atom_site_fract_y
_atom_site_fract_z
Ca1 Ca 0.000 0.000 0.000
Ca2 Ca 0.000 0.000 0.500
Tl1 Tl 0.330 0.670 0.750
Tl2 Tl 0.670 0.330 0.250
B1 B 0.358 0.642 0.250
B2 B 0.642 0.358 0.750
O1 O 0.242 0.334 0.250
O2 O 0.252 0.748 0.070
O3 O 0.252 0.748 0.430
O4 O 0.334 0.242 0.750
O5 O 0.666 0.758 0.250
O6 O 0.748 0.252 0.570
O7 O 0.748 0.252 0.930
O8 O 0.758 0.666 0.750

---

[4]
# Ca2TmB2O6 | Alexandria | PBE-GGA | optimized geometry
# Calculated total energy   -82.43 eV per cell
# Space-group type   C2/m, No. 12
# Calculated density   4.68 g/cm3
data_Ca2TmB2O6
_chemical_formula_sum 'Ca2 Tm1 B2 O6'
_cell_length_a 5.168
_cell_length_b 5.168
_cell_length_c 6.646
_cell_angle_alpha 116.27
_cell_angle_beta 116.27
_cell_angle_gamma 58.23
_symmetry_space_group_name_H-M 'P 1'
_symmetry_Int_Tables_number 1
loop_
_symmetry_equiv_pos_as_xyz
'x,y,z'
loop_
_atom_site_label
_atom_site_type_symbol
_atom_site_fract_x
_atom_site_fract_y
_atom_site_fract_z
Ca1 Ca 0.203 0.203 0.172
Ca2 Ca 0.797 0.797 0.828
Tm1 Tm 0.000 0.000 0.500
B1 B 0.454 0.454 0.744
B2 B 0.546 0.546 0.256
O1 O 0.215 0.696 0.186
O2 O 0.277 0.277 0.648
O3 O 0.304 0.785 0.814
O4 O 0.696 0.215 0.186
O5 O 0.723 0.723 0.352
O6 O 0.785 0.304 0.814

---

[5]
# CaTmB2O6 | Alexandria | PBE-GGA | optimized geometry
# Calculated total energy   -154.25 eV per cell
# Space-group type   C2/c, No. 15
# Calculated density   4.29 g/cm3
data_CaTmB2O6
_chemical_formula_sum 'Ca2 Tm2 B4 O12'
_cell_length_a 6.373
_cell_length_b 6.373
_cell_length_c 6.757
_cell_angle_alpha 100.74
_cell_angle_beta 100.74
_cell_angle_gamma 104.76
_symmetry_space_group_name_H-M 'P 1'
_symmetry_Int_Tables_number 1
loop_
_symmetry_equiv_pos_as_xyz
'x,y,z'
loop_
_atom_site_label
_atom_site_type_symbol
_atom_site_fract_x
_atom_site_fract_y
_atom_site_fract_z
Ca1 Ca 0.086 0.914 0.750
Ca2 Ca 0.914 0.086 0.250
Tm1 Tm 0.428 0.572 0.250
Tm2 Tm 0.572 0.428 0.750
B1 B 0.093 0.421 0.759
B2 B 0.421 0.093 0.259
B3 B 0.579 0.907 0.741
B4 B 0.907 0.579 0.241
O1 O 0.061 0.227 0.615
O2 O 0.067 0.470 0.244
O3 O 0.227 0.061 0.115
O4 O 0.298 0.506 0.904
O5 O 0.470 0.067 0.744
O6 O 0.494 0.702 0.596
O7 O 0.506 0.298 0.404
O8 O 0.530 0.933 0.256
O9 O 0.702 0.494 0.096
O10 O 0.773 0.939 0.885
O11 O 0.933 0.530 0.756
O12 O 0.939 0.773 0.385

---

[6]
# CaU2B2O10 | Alexandria | PBE-GGA | optimized geometry
# Calculated total energy   -262.86 eV per cell
# Space-group type   P-1, No. 2
# Calculated density   4.96 g/cm3
data_CaU2B2O10
_chemical_formula_sum 'Ca2 U4 B4 O20'
_cell_length_a 6.694
_cell_length_b 8.376
_cell_length_c 9.362
_cell_angle_alpha 63.50
_cell_angle_beta 84.35
_cell_angle_gamma 89.94
_symmetry_space_group_name_H-M 'P 1'
_symmetry_Int_Tables_number 1
loop_
_symmetry_equiv_pos_as_xyz
'x,y,z'
loop_
_atom_site_label
_atom_site_type_symbol
_atom_site_fract_x
_atom_site_fract_y
_atom_site_fract_z
Ca1 Ca 0.082 0.160 0.179
Ca2 Ca 0.918 0.840 0.821
U1 U 0.054 0.620 0.259
U2 U 0.500 0.000 0.500
U3 U 0.500 0.500 0.500
U4 U 0.946 0.380 0.741
B1 B 0.341 0.804 0.893
B2 B 0.424 0.303 0.893
B3 B 0.576 0.697 0.107
B4 B 0.659 0.196 0.107
O1 O 0.058 0.402 0.252
O2 O 0.059 0.845 0.252
O3 O 0.172 0.749 0.000
O4 O 0.189 0.489 0.521
O5 O 0.224 0.312 0.876
O6 O 0.267 0.051 0.398
O7 O 0.311 0.884 0.735
O8 O 0.428 0.633 0.234
O9 O 0.466 0.222 0.055
O10 O 0.499 0.731 0.501
O11 O 0.501 0.269 0.499
O12 O 0.534 0.778 0.945
O13 O 0.572 0.367 0.766
O14 O 0.689 0.116 0.265
O15 O 0.733 0.949 0.602
O16 O 0.776 0.688 0.124
O17 O 0.811 0.511 0.479
O18 O 0.828 0.251 0.000
O19 O 0.941 0.155 0.748
O20 O 0.942 0.598 0.748

---

[7]
# CaUB2O8 | Alexandria | PBE-GGA | optimized geometry
# Calculated total energy   -94.21 eV per cell
# Space-group type   I-4m2, No. 119
# Calculated density   5.45 g/cm3
data_CaUB2O8
_chemical_formula_sum 'Ca1 U1 B2 O8'
_cell_length_a 5.556
_cell_length_b 5.556
_cell_length_c 5.556
_cell_angle_alpha 105.73
_cell_angle_beta 105.73
_cell_angle_gamma 117.25
_symmetry_space_group_name_H-M 'P 1'
_symmetry_Int_Tables_number 1
loop_
_symmetry_equiv_pos_as_xyz
'x,y,z'
loop_
_atom_site_label
_atom_site_type_symbol
_atom_site_fract_x
_atom_site_fract_y
_atom_site_fract_z
Ca1 Ca 0.000 0.000 0.000
U1 U 0.250 0.750 0.500
B1 B 0.500 0.500 0.000
B2 B 0.750 0.250 0.500
O1 O 0.354 0.170 0.816
O2 O 0.354 0.537 0.184
O3 O 0.421 0.090 0.331
O4 O 0.463 0.646 0.816
O5 O 0.760 0.090 0.669
O6 O 0.830 0.646 0.184
O7 O 0.910 0.240 0.331
O8 O 0.910 0.579 0.669

---

[8]
# CaUBO5 | Alexandria | PBE-GGA | optimized geometry
# Calculated total energy   -135.93 eV per cell
# Space-group type   C2/c, No. 15
# Calculated density   5.91 g/cm3
data_CaUBO5
_chemical_formula_sum 'Ca2 U2 B2 O10'
_cell_length_a 5.506
_cell_length_b 5.506
_cell_length_c 7.668
_cell_angle_alpha 103.12
_cell_angle_beta 103.12
_cell_angle_gamma 105.71
_symmetry_space_group_name_H-M 'P 1'
_symmetry_Int_Tables_number 1
loop_
_symmetry_equiv_pos_as_xyz
'x,y,z'
loop_
_atom_site_label
_atom_site_type_symbol
_atom_site_fract_x
_atom_site_fract_y
_atom_site_fract_z
Ca1 Ca 0.148 0.852 0.750
Ca2 Ca 0.852 0.148 0.250
U1 U 0.500 0.500 0.000
U2 U 0.500 0.500 0.500
B1 B 0.184 0.816 0.250
B2 B 0.816 0.184 0.750
O1 O 0.084 0.243 0.889
O2 O 0.181 0.612 0.354
O3 O 0.243 0.084 0.389
O4 O 0.388 0.819 0.146
O5 O 0.402 0.598 0.750
O6 O 0.598 0.402 0.250
O7 O 0.612 0.181 0.854
O8 O 0.757 0.916 0.611
O9 O 0.819 0.388 0.646
O10 O 0.916 0.757 0.111

---

We obtain formation energy from raw total energies values of -5174, -2427, -1312, -2977, -2658, -4237, -2692, -2239 kJ/mol of formula units for the records listed above, in that order.
We obtain Fermi-level density of states values of 7.3, 4.4, 3.0, 1.7, 7.5, 0.0, 6.3, 0.9 states/eV/cell for the records listed above, in that order.
We obtain magnetic moment values of 2.045, 1.021, 0.000, 0.000, 1.024, 0.000, 1.979, 1.000 μB per formula unit for the records listed above, in that order.